# 1
{
  "formula": "In2P3Se9",
  "functional": "GGA-PBEsol",
  "state": "relaxed",
  "sg": "P-1",
  "cell": [[6.354, 0.004, 0.013], [-0.084, 7.585, 0.162], [-3.097, 0.077, 14.469]],
  "species": ["Se", "Se", "Se", "Se", "Se", "Se", "Se", "Se", "Se", "Se", "Se", "Se", "Se", "Se", "Se", "Se", "Se", "Se", "In", "In", "In", "In", "P", "P", "P", "P", "P", "P"],
  "frac_coords": [[0.357, 0.620, 0.381], [0.697, 0.295, 0.057], [0.909, 0.745, 0.505], [0.234, 0.423, 0.173], [0.135, 0.184, 0.947], [0.029, 0.961, 0.730], [0.091, 0.255, 0.495], [0.971, 0.039, 0.270], [0.470, 0.852, 0.611], [0.530, 0.148, 0.389], [0.170, 0.472, 0.713], [0.303, 0.705, 0.943], [0.412, 0.936, 0.169], [0.588, 0.064, 0.831], [0.766, 0.577, 0.827], [0.643, 0.380, 0.619], [0.865, 0.816, 0.053], [0.830, 0.528, 0.287], [0.560, 0.618, 0.120], [0.783, 0.073, 0.568], [0.440, 0.382, 0.880], [0.217, 0.927, 0.432], [0.346, 0.033, 0.705], [0.318, 0.298, 0.630], [0.682, 0.702, 0.370], [0.654, 0.967, 0.295], [0.028, 0.370, 0.038], [0.972, 0.630, 0.962]]
}



# 2
{
  "formula": "TlInP2Se6",
  "functional": "GGA-PBEsol",
  "state": "relaxed",
  "sg": "P-1",
  "cell": [[-0.508, -5.606, 3.094], [6.864, 3.059, 0.405], [-5.679, 6.170, 8.642]],
  "species": ["P", "P", "P", "P", "Tl", "Tl", "Se", "Se", "Se", "Se", "Se", "Se", "Se", "Se", "Se", "Se", "Se", "Se", "In", "In"],
  "frac_coords": [[0.933, 0.844, 0.205], [0.067, 0.156, 0.795], [0.798, 0.549, 0.255], [0.202, 0.451, 0.745], [0.825, 0.176, 0.460], [0.175, 0.824, 0.540], [0.660, 0.585, 0.412], [0.359, 0.076, 0.815], [0.793, 0.940, 0.664], [0.937, 0.212, 0.961], [0.063, 0.788, 0.039], [0.098, 0.480, 0.283], [0.469, 0.666, 0.893], [0.902, 0.520, 0.717], [0.641, 0.924, 0.185], [0.207, 0.060, 0.336], [0.531, 0.334, 0.107], [0.340, 0.415, 0.588], [0.290, 0.562, 0.094], [0.710, 0.438, 0.906]]
}



Results for formation energy (no corrections): -231 -251 (in meV per atom, following the order of the records).